# 1
# CaYAl2Ge, relaxed, DFT PBE
data_CaYAl2Ge
_cell_length_a 5.2029
_cell_length_b 5.2029
_cell_length_c 5.1778
_cell_angle_alpha 90.00
_cell_angle_beta 90.00
_cell_angle_gamma 90.00
_space_group_name_H-M_alt 'P 4/m m m'
_space_group_IT_number 123
_space_group_name_Hall '-P 4 2'
loop_
_atom_site_label
_atom_site_fract_x
_atom_site_fract_y
_atom_site_fract_z
_atom_site_occupancy
Ca1 0.0000 0.0000 0.0000 1
Y1 0.5000 0.5000 0.5000 1
Al1 0.0000 0.5000 0.0000 1
Ge1 0.0000 0.0000 0.5000 1
# Total DFT energy (no corrections) (eV for the cell shown): -17.20
# Formation energy from the elements (eV per atom): 0.6727
# Crystal system: tetragonal
# Volume (Å³ per cell): 140.2
# Size of the total moment (μB/f.u.): 0.0

=====

# 2
# PuNiAgRh, relaxed, DFT PBE
data_PuNiAgRh
_cell_length_a 6.5208
_cell_length_b 6.5208
_cell_length_c 6.5208
_cell_angle_alpha 90.00
_cell_angle_beta 90.00
_cell_angle_gamma 90.00
_space_group_name_H-M_alt 'F -4 3 m'
_space_group_IT_number 216
_space_group_name_Hall 'F -4 2 3'
loop_
_atom_site_label
_atom_site_fract_x
_atom_site_fract_y
_atom_site_fract_z
_atom_site_occupancy
Pu1 0.0000 0.0000 0.0000 1
Ni1 0.2500 0.2500 0.2500 1
Ag1 0.0000 0.0000 0.5000 1
Rh1 0.2500 0.2500 0.7500 1
# Total DFT energy (no corrections) (eV for the cell shown): -122.44
# Formation energy from the elements (eV per atom): -0.0737
# Crystal system: cubic
# Volume (Å³ per cell): 277.3
# Size of the total moment (μB/f.u.): 4.9

=====

# 3
# Sm4AlSe2Br, relaxed, DFT PBE
data_Sm4AlSe2Br
_cell_length_a 7.3985
_cell_length_b 4.0694
_cell_length_c 7.5261
_cell_angle_alpha 90.00
_cell_angle_beta 107.63
_cell_angle_gamma 90.00
_space_group_name_H-M_alt 'P 1 2/m 1'
_space_group_IT_number 10
loop_
_space_group_symop_operation_xyz
'x,y,z'
'-x,-y,-z'
'-x,y,-z'
'x,-y,z'
loop_
_atom_site_label
_atom_site_fract_x
_atom_site_fract_y
_atom_site_fract_z
_atom_site_occupancy
Sm1 0.2338 0.0000 0.2264 1
Sm2 0.2413 0.5000 0.7559 1
Al1 0.5000 0.0000 0.0000 1
Se1 0.0000 0.0000 0.5000 1
Se2 0.0000 0.5000 0.0000 1
Br1 0.5000 0.5000 0.5000 1
# Raw formation energy (eV/atom): -1.263
# Total DFT energy (no corrections) (eV for the cell shown): -41.36
# Crystal system: monoclinic
# Volume (Å³ per cell): 215.9
# Size of the total moment (μB/f.u.): 0.0